[1]
Ba2ReTe (PBE-GGA, relaxed); density of states at the Fermi level = 0.00 states/eV per cell; space group = No. 122; E_form (uncorrected) = 0.698 eV/atom
1.0
-3.703 3.703 7.969
3.703 -3.703 7.969
3.703 3.703 -7.969
Ba Re Te
4 2 2
Cartesian
5.555 1.704 -1.992 Ba
1.704 1.852 1.992 Ba
-1.852 1.999 5.977 Ba
1.999 1.852 9.961 Ba
0.000 0.000 0.000 Re
0.000 3.703 3.985 Re
3.703 0.000 3.985 Te
0.000 0.000 7.969 Te

[2]
BaReTe4 (PBE-GGA, relaxed); density of states at the Fermi level = 2.64 states/eV per cell; space group = No. 216; E_form (uncorrected) = 0.656 eV/atom
1.0
0.000 4.594 4.594
4.594 0.000 4.594
4.594 4.594 0.000
Ba Re Te
1 1 4
Cartesian
0.000 0.000 0.000 Ba
6.891 6.891 6.891 Re
3.452 3.452 3.452 Te
5.736 5.736 3.452 Te
5.736 3.452 5.736 Te
3.452 5.736 5.736 Te

[3]
BaRe2Te (PBE-GGA, relaxed); density of states at the Fermi level = 8.73 states/eV per cell; space group = No. 122; E_form (uncorrected) = 0.796 eV/atom
1.0
-2.455 2.455 9.498
2.455 -2.455 9.498
2.455 2.455 -9.498
Ba Re Te
2 4 2
Cartesian
0.000 0.000 0.000 Ba
0.000 2.455 4.749 Ba
1.228 -0.241 7.123 Re
2.214 1.228 2.374 Re
1.228 2.696 -2.374 Re
0.241 1.228 11.872 Re
2.455 0.000 4.749 Te
0.000 0.000 9.498 Te

| no. | raw total energy (eV/atom) |
| --- | --- |
| 1 | -4.160 |
| 2 | -3.833 |
| 3 | -6.694 |